(1)
10
Lattice="-0.311 6.744 3.318 -7.459 -0.684 0.690 0.368 -1.304 2.684" Properties=species:S:1:pos:R:3 comment="TaNb2Rh2 GGA-PBE relaxed" magmom_total_mub_per_atom=0.0000 crystal_system=tetragonal relative_energy_ev_per_fu=0.00 total_energy_ev_per_atom=-9.549 dos_ef_per_ev_atom=1.02 vol_a3_per_cell=170.1 mass_density_g_cm3=11.18 pbc="T T T"
Nb -4.882 0.048 2.377
Nb -6.202 3.313 4.143
Nb -2.521 4.708 4.316
Nb -1.201 1.443 2.549
Rh -6.612 1.905 1.832
Rh -4.964 5.443 3.324
Rh -1.159 4.154 2.176
Rh -2.807 0.617 0.684
Ta 0.000 0.000 0.000
Ta -3.885 3.030 2.004


(2)
10
Lattice="5.432 0.000 0.000 2.716 4.704 0.000 2.716 1.568 5.987" Properties=species:S:1:pos:R:3 comment="NaDySe2O6 GGA-PBE relaxed" magmom_total_mub_per_atom=0.0000 crystal_system=trigonal total_energy_ev_per_atom=-5.978 dos_ef_per_ev_atom=0.00 formation_energy_uncorrected_ev_per_atom=-1.714 vol_a3_per_cell=153.0 mass_density_g_cm3=4.77 pbc="T T T"
Na 0.000 0.000 0.000
Dy 5.432 3.136 2.994
Se 8.147 4.704 5.041
Se 2.716 1.568 0.946
O 3.586 3.377 4.343
O 6.145 1.417 4.343
O 4.300 1.659 1.644
O 7.277 2.895 1.644
O 4.718 4.855 1.644
O 6.563 4.613 4.343


(3)
10
Lattice="4.297 0.000 0.000 0.000 4.297 0.000 0.000 0.000 10.623" Properties=species:S:1:pos:R:3 comment="Pr2Zn3Ge4Pd GGA-PBE relaxed" magmom_total_mub_per_atom=0.0000 crystal_system=tetragonal total_energy_ev_per_atom=-4.233 dos_ef_per_ev_atom=0.14 vol_a3_per_cell=196.1 mass_density_g_cm3=7.41 pbc="T T T"
Pr 2.148 0.000 2.724
Pr 0.000 2.148 7.899
Zn 0.000 0.000 5.312
Zn 2.148 0.000 9.174
Zn 0.000 2.148 1.449
Ge 2.148 2.148 0.000
Ge 0.000 0.000 0.000
Ge 2.148 0.000 6.733
Ge 0.000 2.148 3.890
Pd 2.148 2.148 5.312


(4)
10
Lattice="-0.630 4.139 -1.091 -8.186 -0.323 3.501 5.490 0.697 8.053" Properties=species:S:1:pos:R:3 comment="Dy4TlI5 GGA-PBE relaxed" magmom_total_mub_per_atom=0.0000 crystal_system=monoclinic total_energy_ev_per_atom=-3.803 dos_ef_per_ev_atom=0.54 formation_energy_uncorrected_ev_per_atom=-0.951 vol_a3_per_cell=359.9 mass_density_g_cm3=6.87 pbc="T T T"
Dy -4.038 1.601 8.402
Dy -1.489 4.579 9.652
Dy 0.711 2.913 2.061
Dy -1.838 -0.066 0.811
Tl -0.315 2.069 -0.546
I -2.365 3.691 6.786
I 1.642 3.828 4.995
I -4.968 0.685 5.467
I -4.408 1.908 1.205
I -0.962 0.823 3.676